4
Lattice="3.7908 0.0000 0.0000 1.8954 3.2829 0.0000 1.8954 1.0943 7.6799" Properties=species:S:1:pos:R:3 comment="Lu2HgP, optimized geometry, DFT PBE-GGA" space_group="No. 166" pbc="T T T"
Lu 1.8954 1.0943 1.5902
Lu 5.6862 3.2829 6.0896
Hg 3.7908 2.1886 3.8399
P 0.0000 0.0000 0.0000

---

4
Lattice="-2.5963 4.3048 -0.7477 -0.7549 1.7250 -4.7207 -4.6476 -0.1589 -2.0507" Properties=species:S:1:pos:R:3 comment="LuPaHgPd, optimized geometry, DFT PBE-GGA" space_group="No. 216" pbc="T T T"
Lu -5.9991 4.4032 -5.6394
Pd 0.0000 0.0000 0.0000
Pa -1.9997 1.4677 -1.8798
Hg -3.9994 2.9354 -3.7596

---

4
Lattice="-1.5012 0.3004 4.7683 -2.2359 -3.9192 2.1729 2.3953 -2.5993 3.5478" Properties=species:S:1:pos:R:3 comment="LuPaHgRu, optimized geometry, DFT PBE-GGA" space_group="No. 216" pbc="T T T"
Ru -1.0064 -4.6636 7.8668
Hg -0.3355 -1.5545 2.6223
Pa -0.6709 -3.1090 5.2445
Lu 0.0000 0.0000 0.0000

---

4
Lattice="-3.2573 1.4835 -3.5091 -2.2572 -3.3926 -2.9189 -4.8919 -0.9349 0.5657" Properties=species:S:1:pos:R:3 comment="LuPaTcHg, optimized geometry, DFT PBE-GGA" space_group="No. 216" pbc="T T T"
Hg -7.8048 -2.1329 -4.3968
Lu -5.2032 -1.4220 -2.9312
Pa 0.0000 0.0000 0.0000
Tc -2.6016 -0.7110 -1.4656

---

4
Lattice="5.2885 0.0000 0.0000 2.6442 4.5799 0.0000 2.6442 1.5266 4.3180" Properties=species:S:1:pos:R:3 comment="LuPaTlHg, optimized geometry, DFT PBE-GGA" space_group="No. 216" pbc="T T T"
Lu 2.6442 1.5266 1.0795
Hg 0.0000 0.0000 0.0000
Pa 7.9327 4.5799 3.2385
Tl 5.2885 3.0533 2.1590

---

4
Lattice="-2.1376 -1.2918 2.6591 2.9563 -0.9549 1.9126 0.0402 7.0171 3.4413" Properties=species:S:1:pos:R:3 comment="LuHg2Pb, optimized geometry, DFT PBE-GGA" space_group="No. 123" pbc="T T T"
Hg 0.0092 1.6030 0.7861
Hg 0.0311 5.4141 2.6551
Pb 0.4294 2.3852 4.0065
Lu 0.4093 -1.1234 2.2859

---

4
Lattice="3.9386 0.0000 0.0000 0.0000 5.1190 0.0000 0.0000 0.0000 5.1190" Properties=species:S:1:pos:R:3 comment="Lu2HgPb, optimized geometry, DFT PBE-GGA" space_group="No. 123" pbc="T T T"
Hg 1.9693 0.0000 0.0000
Lu 0.0000 0.0000 2.5595
Lu 0.0000 2.5595 0.0000
Pb 1.9693 2.5595 2.5595

---

4
Lattice="-2.5451 -2.6105 0.3658 0.8423 -3.1616 1.6495 -3.1137 1.7192 8.9548" Properties=species:S:1:pos:R:3 comment="Lu2HgPb, optimized geometry, DFT PBE-GGA" space_group="No. 166" pbc="T T T"
Lu -3.6456 -2.9922 8.3355
Lu -1.1710 -1.0607 2.6346
Pb -2.4083 -2.0264 5.4851
Hg 0.0000 0.0000 0.0000

---

4
Lattice="4.8485 0.0000 0.0000 0.0000 4.5327 0.0000 0.0000 0.0000 4.5327" Properties=species:S:1:pos:R:3 comment="LuHg2Pb, optimized geometry, DFT PBE-GGA" space_group="No. 123" pbc="T T T"
Hg 0.0000 0.0000 2.2664
Hg 0.0000 2.2664 0.0000
Pb 2.4243 2.2664 2.2664
Lu 2.4243 0.0000 0.0000

---

4
Lattice="5.0222 0.0000 0.0000 2.5111 4.3493 0.0000 2.5111 1.4498 4.1006" Properties=species:S:1:pos:R:3 comment="LuHgPdPb, optimized geometry, DFT PBE-GGA" space_group="No. 216" pbc="T T T"
Pb 7.5332 4.3493 3.0754
Hg 5.0222 2.8995 2.0503
Lu 2.5111 1.4498 1.0251
Pd 0.0000 0.0000 0.0000

---

4
Lattice="-4.4656 -1.5831 -2.5034 -0.6292 -5.1450 -1.3592 -3.5859 -3.0335 2.5796" Properties=species:S:1:pos:R:3 comment="PmLuHgPb, optimized geometry, DFT PBE-GGA" space_group="No. 216" pbc="T T T"
Pb -6.5104 -7.3212 -0.9623
Lu -4.3403 -4.8808 -0.6415
Pm 0.0000 0.0000 0.0000
Hg -2.1701 -2.4404 -0.3208

---

4
Lattice="-2.7752 -1.8804 4.2303 1.8111 -4.2941 2.7228 1.9574 0.6000 4.9942" Properties=species:S:1:pos:R:3 comment="PrLuHgPb, optimized geometry, DFT PBE-GGA" space_group="No. 216" pbc="T T T"
Pr 0.4967 -2.7872 5.9736
Hg 0.2483 -1.3936 2.9868
Pb 0.7450 -4.1808 8.9605
Lu 0.0000 0.0000 0.0000

---

4
Lattice="5.3313 0.0000 0.0000 2.6656 4.6170 0.0000 2.6656 1.5390 4.3530" Properties=species:S:1:pos:R:3 comment="LuPuHgPb, optimized geometry, DFT PBE-GGA" space_group="No. 216" pbc="T T T"
Pb 2.6656 1.5390 1.0882
Lu 5.3313 3.0780 2.1765
Pu 0.0000 0.0000 0.0000
Hg 7.9969 4.6170 3.2647

---

4
Lattice="5.3461 0.0000 0.0000 2.6730 4.6299 0.0000 2.6730 1.5433 4.3651" Properties=species:S:1:pos:R:3 comment="SmLuHgPb, optimized geometry, DFT PBE-GGA" space_group="No. 216" pbc="T T T"
Lu 0.0000 0.0000 0.0000
Hg 8.0191 4.6299 3.2738
Pb 2.6730 1.5433 1.0913
Sm 5.3461 3.0866 2.1825

---

4
Lattice="5.4983 0.0000 0.0000 2.7491 4.7616 0.0000 2.7491 1.5872 4.4893" Properties=species:S:1:pos:R:3 comment="SrLuHgPb, optimized geometry, DFT PBE-GGA" space_group="No. 216" pbc="T T T"
Hg 0.0000 0.0000 0.0000
Pb 5.4983 3.1744 2.2447
Sr 2.7491 1.5872 1.1223
Lu 8.2474 4.7616 3.3670

---

4
Lattice="5.3065 0.0000 0.0000 2.6533 4.5956 0.0000 2.6533 1.5319 4.3328" Properties=species:S:1:pos:R:3 comment="TbLuHgPb, optimized geometry, DFT PBE-GGA" space_group="No. 216" pbc="T T T"
Lu 5.3065 3.0637 2.1664
Pb 2.6533 1.5319 1.0832
Hg 7.9598 4.5956 3.2496
Tb 0.0000 0.0000 0.0000

---

4
Lattice="-3.6303 -1.6367 3.1408 0.2387 -4.6841 1.9299 1.0171 -0.6651 4.9240" Properties=species:S:1:pos:R:3 comment="LuTiHgPb, optimized geometry, DFT PBE-GGA" space_group="No. 216" pbc="T T T"
Lu -1.7809 -5.2395 7.4960
Pb -1.1872 -3.4930 4.9974
Hg 0.0000 0.0000 0.0000
Ti -0.5936 -1.7465 2.4987

---

4
Lattice="-4.0923 1.2235 -3.2712 -4.8919 0.9222 2.0405 -2.0286 4.9829 -0.0228" Properties=species:S:1:pos:R:3 comment="LuTlHgPb, optimized geometry, DFT PBE-GGA" space_group="No. 216" pbc="T T T"
Pb -8.2596 5.3464 -0.9401
Lu -2.7532 1.7821 -0.3134
Tl 0.0000 0.0000 0.0000
Hg -5.5064 3.5643 -0.6267

---

4
Lattice="5.2656 0.0000 0.0000 2.6328 4.5601 0.0000 2.6328 1.5200 4.2993" Properties=species:S:1:pos:R:3 comment="TmLuHgPb, optimized geometry, DFT PBE-GGA" space_group="No. 216" pbc="T T T"
Hg 7.8983 4.5601 3.2245
Pb 2.6328 1.5200 1.0748
Tm 0.0000 0.0000 0.0000
Lu 5.2656 3.0401 2.1497

---

4
Lattice="-3.9799 -2.0346 2.8515 -0.0078 -5.1549 1.2399 0.8360 -1.5229 5.0092" Properties=species:S:1:pos:R:3 comment="YLuHgPb, optimized geometry, DFT PBE-GGA" space_group="No. 216" pbc="T T T"
Hg -1.5758 -4.3562 4.5503
Lu -0.7879 -2.1781 2.2752
Y -2.3638 -6.5343 6.8255
Pb 0.0000 0.0000 0.0000

---

| no. | ΔE_f (eV per atom) |
| --- | --- |
| 1 | -0.959 |
| 2 | -0.270 |
| 3 | -0.145 |
| 4 | -0.027 |
| 5 | 0.027 |
| 6 | -0.239 |
| 7 | -0.381 |
| 8 | -0.310 |
| 9 | -0.256 |
| 10 | -0.395 |
| 11 | -0.427 |
| 12 | -0.426 |
| 13 | -0.248 |
| 14 | -0.423 |
| 15 | -0.407 |
| 16 | -0.413 |
| 17 | -0.100 |
| 18 | -0.108 |
| 19 | -0.381 |
| 20 | -0.421 |